(1)
Here is a geometry-optimized LuScRu4 structure from Alexandria via LeMat-Bulk. Energies are from PBE.

Cell: 7.406 7.406 7.406 Å, 90.00 90.00 90.00°
Space group F-43m (No. 216)
Asymmetric unit:
Lu 0.000 0.000 0.000 (multiplicity 4)
Sc 0.250 0.250 0.250 (multiplicity 4)
Ru 0.125 0.125 0.625 (multiplicity 16)

**DOS(E_F)**: 26.40 states/eV per cell
**Energy relative to the elements**: -0.355 eV/atom
**Final energy**: -8.348 eV/atom

(2)
Here is a geometry-optimized VZnCr2 structure from Alexandria via LeMat-Bulk. Energies are from PBE.

Cell: 6.556 6.556 5.053 Å, 90.00 90.00 90.00°
Space group I-42d (No. 122)
Asymmetric unit:
V 0.000 0.000 0.000 (multiplicity 4)
Zn 0.000 0.000 0.500 (multiplicity 4)
Cr 0.231 0.250 0.125 (multiplicity 8)

**DOS(E_F)**: 21.05 states/eV per cell
**Energy relative to the elements**: 0.714 eV/atom
**Final energy**: -6.696 eV/atom

(3)
Here is a geometry-optimized K4TeRu structure from Alexandria via LeMat-Bulk. Energies are from PBE.

Cell: 9.615 9.615 9.615 Å, 90.00 90.00 90.00°
Space group F-43m (No. 216)
Asymmetric unit:
K 0.123 0.123 0.377 (multiplicity 16)
Te 0.250 0.250 0.750 (multiplicity 4)
Ru 0.000 0.000 0.000 (multiplicity 4)

**Formation energy (no corrections)**: 0.712 eV/atom
**DOS(E_F)**: 13.99 states/eV per cell
**Final energy**: -2.089 eV/atom

(4)
Here is a geometry-optimized Ac4Pm3Pr2 structure from Alexandria via LeMat-Bulk. Energies are from PBE.

Cell: 5.452 6.557 11.427 Å, 74.22 89.98 65.50°
Space group P-1 (No. 2)
Asymmetric unit:
Ac 0.003 0.493 0.334 (multiplicity 2)
Ac 0.334 0.833 0.111 (multiplicity 2)
Pm 0.000 0.500 0.000 (multiplicity 1)
Pm 0.335 0.830 0.448 (multiplicity 2)
Pr 0.329 0.841 0.773 (multiplicity 2)

**Excess energy over the best structure of this formula in the dataset**: 0.000 eV per atom
**DOS(E_F)**: 16.57 states/eV per cell
**Energy relative to the elements**: 0.036 eV/atom
**Final energy**: -4.435 eV/atom

(5)
Here is a geometry-optimized Tb2AgTe structure from Alexandria via LeMat-Bulk. Energies are from PBE.

Cell: 4.130 23.671 4.511 Å, 90.00 90.00 90.00°
Space group Cmcm (No. 63)
Asymmetric unit:
Tb 0.000 0.063 0.250 (multiplicity 4)
Tb 0.000 0.328 0.250 (multiplicity 4)
Ag 0.000 0.460 0.250 (multiplicity 4)
Te 0.000 0.195 0.250 (multiplicity 4)

**Excess energy over the best structure of this formula in the dataset**: 0.000 eV per atom
**Formation energy (no corrections)**: -0.795 eV/atom
**DOS(E_F)**: 10.71 states/eV per cell
**Final energy**: -4.609 eV/atom

(6)
Here is a geometry-optimized MgTiBr2 structure from Alexandria via LeMat-Bulk. Energies are from PBE.

Cell: 3.3977 3.3977 29.9698 Å, 90.00 90.00 120.00°
Space group R-3m (No. 166, hexagonal axes)
Asymmetric unit:
Mg 0.0000 0.0000 0.0000 (multiplicity 3)
Ti 0.0000 0.0000 0.5000 (multiplicity 3)
Br 0.0000 0.0000 0.1082 (multiplicity 6)

**Excess energy over the best structure of this formula in the dataset**: 0.000 eV per atom
**Formation energy (no corrections)**: -0.617 eV/atom
**DOS(E_F)**: 8.83 states/eV per cell
**Final energy**: -3.826 eV/atom